# 1
## SmPa2 (PBE-GGA)

Data for a relaxed SmPa2 crystal.

## Properties
Symmetry: I4/mmm, No. 139
ΔH_f (0 K) (kcal/mol of atoms): 4.31
D(E_F) (states/eV per cell): 5.57
Offset from the most stable computed form (eV/f.u.): 0.00
Total DFT energy (no corrections) (eV per atom): -7.717

Cell: 3.2285 3.2285 8.1084 Å, 101.48 101.48 90.00°
With the nearest neighbours (Å) after each atom.
Positions (direct):
1 Sm 0.0000 0.0000 0.0000  4 Sm 3.23, 8 Pa 3.53
2 Pa 0.6733 0.6733 0.3466  8 Pa 3.23-3.30, 4 Sm 3.53
3 Pa 0.3267 0.3267 0.6534  8 Pa 3.23-3.30, 4 Sm 3.53

# 2
## SmPa3 (PBE-GGA)

Data for a relaxed SmPa3 crystal.

## Properties
Symmetry: Pmm2, No. 25
ΔH_f (0 K) (kcal/mol of atoms): 4.93
D(E_F) (states/eV per cell): 9.39
Offset from the most stable computed form (eV/f.u.): 0.05
Total DFT energy (no corrections) (eV per atom): -8.088

Cell: 3.1893 5.6016 5.8517 Å, 90.00 90.00 90.00°
With the nearest neighbours (Å) after each atom.
Positions (direct):
1 Pa 0.5000 0.5000 0.8007  8 Pa 3.18-3.48, 4 Sm 3.31-3.36
2 Pa 0.0000 0.0000 0.0270  10 Pa 3.19-3.48, 2 Sm 3.21
3 Pa 0.5000 0.0000 0.5430  8 Pa 3.18-3.41, 4 Sm 3.53
4 Sm 0.0000 0.5000 0.2960  2 Sm 3.19, 10 Pa 3.21-3.53

# 3
## SmPaSn (PBE-GGA)

Data for a relaxed SmPaSn crystal.

## Properties
Symmetry: I4mm, No. 107
ΔH_f (0 K) (kcal/mol of atoms): -2.44
D(E_F) (states/eV per cell): 5.43
Offset from the most stable computed form (eV/f.u.): 0.00
Total DFT energy (no corrections) (eV per atom): -6.179

Cell: 3.3400 3.3400 7.7825 Å, 102.39 102.39 90.00°
With the nearest neighbours (Å) after each atom.
Positions (direct):
1 Sm 0.6220 0.6220 0.2441  4 Sm 3.34, 4 Sn 3.39, 4 Pa 3.56
2 Pa 0.9423 0.9423 0.8846  4 Sn 3.31, 4 Pa 3.34, 4 Sm 3.56
3 Sn 0.2857 0.2857 0.5713  4 Pa 3.31, 4 Sn 3.34, 4 Sm 3.39

# 4
## SmPa2Sn9 (PBE-GGA)

Data for a relaxed SmPa2Sn9 crystal.

## Properties
Symmetry: P4/mmm, No. 123
ΔH_f (0 K) (kcal/mol of atoms): -8.18
D(E_F) (states/eV per cell): 11.32
Total DFT energy (no corrections) (eV per atom): -5.333

Cell: 4.6704 4.6704 14.0691 Å, 90.00 90.00 90.00°
With the nearest neighbours (Å) after each atom.
Positions (direct):
1 Sn 0.0000 0.5000 0.5000  4 Pa 3.26, 8 Sn 3.29-3.30
2 Sn 0.5000 0.5000 0.0000  4 Sm 3.30, 8 Sn 3.36
3 Sn 0.5000 0.0000 0.5000  4 Pa 3.26, 8 Sn 3.29-3.30
4 Sn 0.0000 0.5000 0.8287  8 Sn 3.28-3.36, 2 Pa 3.31, 2 Sm 3.36
5 Sn 0.5000 0.0000 0.1713  8 Sn 3.28-3.36, 2 Pa 3.31, 2 Sm 3.36
6 Sn 0.5000 0.0000 0.8287  8 Sn 3.28-3.36, 2 Pa 3.31, 2 Sm 3.36
7 Sn 0.0000 0.5000 0.1713  8 Sn 3.28-3.36, 2 Pa 3.31, 2 Sm 3.36
8 Sn 0.5000 0.5000 0.6648  8 Sn 3.28-3.29, 4 Pa 3.30
9 Sn 0.5000 0.5000 0.3352  8 Sn 3.28-3.29, 4 Pa 3.30
10 Sm 0.0000 0.0000 0.0000  12 Sn 3.30-3.36
11 Pa 0.0000 0.0000 0.3381  12 Sn 3.26-3.31
12 Pa 0.0000 0.0000 0.6619  12 Sn 3.26-3.31

# 5
## SmPaSn (PBE-GGA)

Data for a relaxed SmPaSn crystal.

## Properties
Symmetry: P-6m2, No. 187
ΔH_f (0 K) (kcal/mol of atoms): 2.16
D(E_F) (states/eV per cell): 5.14
Offset from the most stable computed form (eV/f.u.): 0.60
Total DFT energy (no corrections) (eV per atom): -5.979

Cell: 3.2217 5.2831 5.2831 Å, 120.00 90.00 90.00°
With the nearest neighbours (Å) after each atom.
Positions (direct):
1 Sm 0.1657 0.0000 0.0000  3 Pa 3.05, 2 Sm 3.22
2 Sn 0.6676 0.6667 0.3333  2 Sn 3.22, 6 Sm 3.45, 6 Pa 3.45
3 Pa 0.1667 0.3333 0.6667  3 Sm 3.05, 2 Pa 3.22

# 6
## Sm3PaSn12 (PBE-GGA)

Data for a relaxed Sm3PaSn12 crystal.

## Properties
Symmetry: P4/mmm, No. 123
ΔH_f (0 K) (kcal/mol of atoms): -9.93
D(E_F) (states/eV per cell): 9.86
Total DFT energy (no corrections) (eV per atom): -4.911

Cell: 4.7392 4.7392 18.7044 Å, 90.00 90.00 90.00°
With the nearest neighbours (Å) after each atom.
Positions (direct):
1 Sn 0.0000 0.5000 0.3735  8 Sn 3.32-3.35, 4 Sm 3.35-3.38
2 Sn 0.0000 0.5000 0.8783  8 Sn 3.29-3.36, 2 Pa 3.29, 2 Sm 3.30
3 Sn 0.5000 0.5000 0.7506  8 Sn 3.32-3.36, 4 Sm 3.35
4 Sn 0.5000 0.0000 0.6265  8 Sn 3.32-3.35, 4 Sm 3.35-3.38
5 Sn 0.0000 0.5000 0.1217  8 Sn 3.29-3.36, 2 Pa 3.29, 2 Sm 3.30
6 Sn 0.5000 0.0000 0.1217  2 Pa 3.29, 8 Sn 3.29-3.36, 2 Sm 3.30
7 Sn 0.5000 0.5000 0.0000  8 Sn 3.29, 4 Pa 3.35
8 Sn 0.0000 0.5000 0.6265  8 Sn 3.32-3.35, 4 Sm 3.35-3.38
9 Sn 0.5000 0.5000 0.2494  8 Sn 3.32-3.36, 4 Sm 3.35
10 Sn 0.5000 0.0000 0.8783  2 Pa 3.29, 8 Sn 3.29-3.36, 2 Sm 3.30
11 Sn 0.5000 0.0000 0.3735  8 Sn 3.32-3.35, 4 Sm 3.35-3.38
12 Sn 0.5000 0.5000 0.5000  8 Sn 3.35, 4 Sm 3.35
13 Sm 0.0000 0.0000 0.5000  12 Sn 3.35
14 Sm 0.0000 0.0000 0.2445  12 Sn 3.30-3.38
15 Sm 0.0000 0.0000 0.7555  12 Sn 3.30-3.38
16 Pa 0.0000 0.0000 0.0000  12 Sn 3.29-3.35

Question: The highest total DFT energy (no corrections) belongs to which entry?
Answer: Sm3PaSn12